# 1
! MgCuReSi (GGA-PBE, relaxed); values from VASP
&SYSTEM
  ibrav = 0, nat = 4, ntyp = 4
/
ATOMIC_SPECIES
Mg 24.30 Mg.upf
Cu 63.55 Cu.upf
Re 186.21 Re.upf
Si 28.09 Si.upf
CELL_PARAMETERS angstrom
0.000 3.016 3.016
3.016 0.000 3.016
3.016 3.016 0.000
ATOMIC_POSITIONS crystal
Mg 0.000 0.000 0.000
Cu 0.250 0.250 0.250
Re 0.750 0.750 0.750
Si 0.500 0.500 0.500
! ΔE to the lowest computed polymorph: 0.00 eV per formula unit
! Space-group type: F-43m (216)

---

# 2
! MgTlCuRe (GGA-PBE, relaxed); values from VASP
&SYSTEM
  ibrav = 0, nat = 4, ntyp = 4
/
ATOMIC_SPECIES
Mg 24.30 Mg.upf
Tl 204.38 Tl.upf
Cu 63.55 Cu.upf
Re 186.21 Re.upf
CELL_PARAMETERS angstrom
0.000 3.254 3.254
3.254 0.000 3.254
3.254 3.254 0.000
ATOMIC_POSITIONS crystal
Mg 0.000 0.000 0.000
Tl 0.500 0.500 0.500
Cu 0.750 0.750 0.750
Re 0.250 0.250 0.250
! ΔE to the lowest computed polymorph: 0.00 eV per formula unit
! Space-group type: F-43m (216)